Entry from Alexandria via LeMat-Bulk: crystalline RbTl3Fe at its relaxed geometry (PBE).

ΔH_f (0 K) ... 0.8 eV per formula unit

Lattice parameters (Å, degrees): 5.2382 5.2382 5.2382 90.00 90.00 90.00
Closest atoms and distances in Å follow each position.
Atoms (fractional coordinates):
Rb  0.0000  0.0000  0.0000  12 Tl 3.70
Tl  0.0000  0.5000  0.5000  2 Fe 2.62
Tl  0.5000  0.0000  0.5000  2 Fe 2.62
Tl  0.5000  0.5000  0.0000  2 Fe 2.62
Fe  0.5000  0.5000  0.5000  6 Tl 2.62